Record 1
Y2HfN: optimized geometry, GGA-PBE.

- total moment (μB/cell) = 0.001
- volume (A^3/atom) = 22.1
- formation energy (no corrections) (eV per atom) = -0.49

Cell lengths 9.2873, 9.2873, 9.2873 Å; angles 20.82, 20.82, 20.82 degrees
With the nearest neighbours (Å) after each atom.
Element x y z (fractional)
1 Y 0.1169 0.1169 0.1169  3 N 2.37
2 Y 0.8831 0.8831 0.8831  3 N 2.37
3 Hf 0.0000 0.0000 0.0000  2 Y 3.18, 6 Hf 3.36
4 N 0.5000 0.5000 0.5000  6 Y 2.37

Record 2
TbPrEr6: optimized geometry, GGA-PBE.

- relative energy among the computed polymorphs (eV per formula unit) = 1.76
- E_form (eV per formula unit) = 2.97
- total moment (μB/cell) = 0.000
- volume (A^3/atom) = 34.7

Cell lengths 6.0662, 6.0662, 8.5098 Å; angles 102.70, 102.70, 66.85 degrees
With the nearest neighbours (Å) after each atom.
Element x y z (fractional)
1 Tb 0.0000 0.0000 0.0000  4 Er 3.27
2 Pr 0.0000 0.0000 0.5000  8 Er 3.43-3.49
3 Er 0.0609 0.5445 0.7024  5 Er 3.23-3.47, 1 Tb 3.27, 2 Pr 3.43-3.49
4 Er 0.3746 0.3746 0.0757  5 Er 3.13-3.47
5 Er 0.4555 0.9391 0.2976  5 Er 3.23-3.47, 1 Tb 3.27, 2 Pr 3.43-3.49
6 Er 0.5445 0.0609 0.7024  5 Er 3.23-3.47, 1 Tb 3.27, 2 Pr 3.43-3.49
7 Er 0.6254 0.6254 0.9243  5 Er 3.13-3.47
8 Er 0.9391 0.4555 0.2976  5 Er 3.23-3.47, 1 Tb 3.27, 2 Pr 3.43-3.49

Record 3
K2ReP: optimized geometry, GGA-PBE.

- relative energy among the computed polymorphs (eV per formula unit) = 0.77
- E_form (eV per formula unit) = 1.48
- total moment (μB/cell) = 0.000
- volume (A^3/atom) = 28.6

Cell lengths 10.2917, 10.2917, 3.8454 Å; angles 100.17, 100.17, 16.57 degrees
With the nearest neighbours (Å) after each atom.
Element x y z (fractional)
1 K 0.1439 0.1439 0.1339  2 K 2.97, 2 P 3.24
2 K 0.8561 0.8561 0.8661  2 K 2.97, 2 P 3.24
3 Re 0.0000 0.0000 0.5000  4 P 2.43
4 P 0.5000 0.5000 0.0000  4 Re 2.43

Record 4
LiPmHfIr: optimized geometry, GGA-PBE.

- E_form (eV per formula unit) = -1.43
- total moment (μB/cell) = 0.000
- volume (A^3/atom) = 20.0

Cell lengths 4.8334, 4.8334, 4.8334 Å; angles 60.00, 60.00, 60.00 degrees
With the nearest neighbours (Å) after each atom.
Element x y z (fractional)
1 Li 0.0000 0.0000 0.0000  4 Pm 2.96, 4 Hf 2.96
2 Pm 0.7500 0.7500 0.7500  4 Li 2.96, 4 Ir 2.96
3 Hf 0.2500 0.2500 0.2500  4 Li 2.96, 4 Ir 2.96
4 Ir 0.5000 0.5000 0.5000  4 Pm 2.96, 4 Hf 2.96

Record 5
TlSb4Pb5: optimized geometry, GGA-PBE.

- relative energy among the computed polymorphs (eV per formula unit) = 0.00
- total moment (μB/cell) = 0.000
- volume (A^3/atom) = 34.4
- formation energy (no corrections) (eV per atom) = 0.03

Cell lengths 5.5284, 7.5074, 8.7241 Å; angles 87.43, 71.94, 89.88 degrees
With the nearest neighbours (Å) after each atom.
Element x y z (fractional)
1 Tl 0.0000 0.0000 0.0000  6 Sb 3.41-3.54, 2 Pb 3.75
2 Sb 0.1732 0.7510 0.6478  7 Pb 3.23-3.40, 1 Tl 3.54
3 Sb 0.4750 0.7379 0.0520  4 Pb 3.07-3.34, 2 Tl 3.41
4 Sb 0.5250 0.2621 0.9480  4 Pb 3.07-3.34, 2 Tl 3.41
5 Sb 0.8268 0.2490 0.3522  7 Pb 3.23-3.40, 1 Tl 3.54
6 Pb 0.0000 0.5000 0.0000  6 Sb 3.33-3.40
7 Pb 0.3237 0.4845 0.3535  4 Sb 3.07-3.29
8 Pb 0.3394 0.0113 0.3253  4 Sb 3.13-3.31
9 Pb 0.6606 0.9887 0.6747  4 Sb 3.13-3.31
10 Pb 0.6763 0.5155 0.6465  4 Sb 3.07-3.29

Record 6
KRbCoI4: optimized geometry, GGA-PBE.

- total moment (μB/cell) = 6.001
- volume (A^3/atom) = 44.6
- formation energy (no corrections) (eV per atom) = -0.87

Cell lengths 7.8704, 8.2184, 10.1917 Å; angles 90.00, 108.67, 90.00 degrees
With the nearest neighbours (Å) after each atom.
Element x y z (fractional)
1 K 0.2191 0.2500 0.0483  6 I 3.57-3.72
2 K 0.7809 0.7500 0.9517  6 I 3.57-3.72
3 Rb 0.2744 0.2500 0.5738  8 I 3.81-4.24
4 Rb 0.7256 0.7500 0.4262  8 I 3.81-4.24
5 Co 0.2090 0.7500 0.8000  4 I 2.58-2.59
6 Co 0.7910 0.2500 0.2000  4 I 2.58-2.59
7 I 0.0033 0.0012 0.2553  1 Co 2.59
8 I 0.0033 0.4988 0.2553  1 Co 2.59
9 I 0.3885 0.7500 0.0606  1 Co 2.58
10 I 0.4077 0.7500 0.6408  1 Co 2.59
11 I 0.5923 0.2500 0.3592  1 Co 2.59
12 I 0.6115 0.2500 0.9394  1 Co 2.58
13 I 0.9967 0.5012 0.7447  1 Co 2.59
14 I 0.9967 0.9988 0.7447  1 Co 2.59